[1]
This record from Alexandria describes a PBEsol-optimized structure of AlPCl. The functional is meta-GGA SCAN.

Cell and atoms, written as extended XYZ:
```
3
Lattice="-1.202 0.018 3.028 2.610 -1.817 -0.706 3.874 4.978 1.509" Properties=species:S:1:pos:R:3 pbc="T T T"
P 0.992 0.592 2.143
Al 0.017 0.022 0.007
Cl 4.274 2.564 1.681
```

Computed properties:
* symmetry: P3m1, No. 156
* spin magnetization: 0.000 μB/atom
* mass density: 2.60 Mg/m³
* DOS at the Fermi energy: 0.78 states/eV/cell
* raw formation energy: -0.53 eV/atom



[2]
This record from Alexandria describes a PBEsol-optimized structure of AlPCl4. The functional is meta-GGA SCAN.

Cell and atoms, written as extended XYZ:
```
6
Lattice="-0.189 3.203 4.708 -4.637 3.105 1.148 -3.420 -1.474 4.312" Properties=species:S:1:pos:R:3 pbc="T T T"
P -6.184 3.626 7.627
Al 0.000 0.000 0.000
Cl -3.096 1.815 3.818
Cl -4.800 1.081 5.966
Cl -3.190 3.411 6.164
Cl -5.406 3.362 4.390
```

Computed properties:
* symmetry: F-43m, No. 216
* spin magnetization: 0.084 μB/atom
* mass density: 2.54 Mg/m³
* DOS at the Fermi energy: 8.08 states/eV/cell
* raw formation energy: 0.90 eV/atom



[3]
This record from Alexandria describes a PBEsol-optimized structure of AlPCl6. The functional is meta-GGA SCAN.

Cell and atoms, written as extended XYZ:
```
16
Lattice="6.277 0.443 0.000 -1.236 6.540 0.000 0.000 0.000 12.038" Properties=species:S:1:pos:R:3 pbc="T T T"
Al 3.268 3.908 0.751
Al 1.773 3.075 6.769
Cl 1.025 1.119 3.059
Cl 4.015 5.864 9.078
Cl 3.644 6.715 4.453
Cl 1.396 0.269 10.472
Cl 4.140 5.985 0.281
Cl 0.901 0.998 6.300
Cl 1.178 4.220 0.833
Cl 3.863 2.763 6.852
Cl 1.049 4.241 5.164
Cl 3.991 2.742 11.183
Cl 4.041 3.432 2.673
Cl 1.000 3.551 8.692
P 5.891 1.937 4.467
P -0.850 5.046 10.485
```

Computed properties:
* symmetry: P2_1, No. 4
* spin magnetization: 0.000 μB/atom
* mass density: 1.80 Mg/m³
* DOS at the Fermi energy: 0.00 states/eV/cell
* raw formation energy: -1.16 eV/atom



[4]
This record from Alexandria describes a PBEsol-optimized structure of AlP2PtCl. The functional is meta-GGA SCAN.

Cell and atoms, written as extended XYZ:
```
5
Lattice="4.285 0.000 0.000 0.000 4.628 0.000 0.000 0.000 4.628" Properties=species:S:1:pos:R:3 pbc="T T T"
P 0.000 0.000 2.314
P 0.000 2.314 0.000
Al 0.000 0.000 0.000
Pt 2.142 2.314 2.314
Cl 2.142 0.000 0.000
```

Computed properties:
* symmetry: P4/mmm, No. 123
* ΔE to the lowest computed polymorph: 91 meV/atom
* spin magnetization: 0.000 μB/atom
* mass density: 5.78 Mg/m³
* DOS at the Fermi energy: 2.07 states/eV/cell
* raw formation energy: 0.66 eV/atom



[5]
This record from Alexandria describes a PBEsol-optimized structure of AlP2PtCl. The functional is meta-GGA SCAN.

Cell and atoms, written as extended XYZ:
```
5
Lattice="4.597 0.000 0.000 0.000 4.597 0.000 0.000 0.000 4.983" Properties=species:S:1:pos:R:3 pbc="T T T"
P 0.000 2.298 0.000
P 2.298 0.000 0.000
Al 2.298 2.298 2.492
Pt 0.000 0.000 0.000
Cl 0.000 0.000 2.492
```

Computed properties:
* symmetry: P4/mmm, No. 123
* ΔE to the lowest computed polymorph: 0 meV/atom
* spin magnetization: 0.000 μB/atom
* mass density: 5.04 Mg/m³
* DOS at the Fermi energy: 3.63 states/eV/cell
* raw formation energy: 0.57 eV/atom



[6]
This record from Alexandria describes a PBEsol-optimized structure of AlRePCl2. The functional is meta-GGA SCAN.

Cell and atoms, written as extended XYZ:
```
5
Lattice="4.409 0.000 0.000 0.000 4.409 0.000 0.000 0.000 5.101" Properties=species:S:1:pos:R:3 pbc="T T T"
Re 2.205 2.205 2.550
Al 0.000 0.000 0.000
P 0.000 0.000 2.550
Cl 0.000 2.205 0.000
Cl 2.205 0.000 0.000
```

Computed properties:
* symmetry: P4/mmm, No. 123
* spin magnetization: 0.939 μB/atom
* mass density: 5.28 Mg/m³
* DOS at the Fermi energy: 0.67 states/eV/cell
* raw formation energy: 0.62 eV/atom



[7]
This record from Alexandria describes a PBEsol-optimized structure of AlP2RhCl. The functional is meta-GGA SCAN.

Cell and atoms, written as extended XYZ:
```
5
Lattice="-3.170 2.166 2.098 -0.924 -3.739 2.464 3.013 1.343 3.166" Properties=species:S:1:pos:R:3 pbc="T T T"
P 1.506 0.671 1.583
P -0.462 -1.869 1.232
Rh -0.540 -0.115 3.864
Al 0.000 0.000 0.000
Cl -1.585 1.083 1.049
```

Computed properties:
* symmetry: P4/mmm, No. 123
* spin magnetization: 0.001 μB/atom
* mass density: 4.13 Mg/m³
* DOS at the Fermi energy: 3.50 states/eV/cell
* raw formation energy: 0.70 eV/atom



[8]
This record from Alexandria describes a PBEsol-optimized structure of SrAlP2Cl. The functional is meta-GGA SCAN.

Cell and atoms, written as extended XYZ:
```
5
Lattice="5.379 0.000 0.000 0.000 5.578 0.000 0.000 0.000 5.578" Properties=species:S:1:pos:R:3 pbc="T T T"
Sr 0.000 0.000 0.000
Al 2.690 2.789 2.789
P 0.000 0.000 2.789
P 0.000 2.789 0.000
Cl 2.690 0.000 0.000
```

Computed properties:
* symmetry: P4/mmm, No. 123
* spin magnetization: 0.645 μB/atom
* mass density: 2.10 Mg/m³
* DOS at the Fermi energy: 3.38 states/eV/cell
* raw formation energy: 0.51 eV/atom



[9]
This record from Alexandria describes a PBEsol-optimized structure of TaAlP2Cl. The functional is meta-GGA SCAN.

Cell and atoms, written as extended XYZ:
```
5
Lattice="4.348 0.000 0.000 0.000 4.597 0.000 0.000 0.000 4.597" Properties=species:S:1:pos:R:3 pbc="T T T"
P 0.000 0.000 2.298
P 0.000 2.298 0.000
Cl 2.174 0.000 0.000
Al 0.000 0.000 0.000
Ta 2.174 2.298 2.298
```

Computed properties:
* symmetry: P4/mmm, No. 123
* spin magnetization: 0.303 μB/atom
* mass density: 5.52 Mg/m³
* DOS at the Fermi energy: 2.66 states/eV/cell
* raw formation energy: 0.72 eV/atom



[10]
This record from Alexandria describes a PBEsol-optimized structure of TaAlPCl2. The functional is meta-GGA SCAN.

Cell and atoms, written as extended XYZ:
```
5
Lattice="-2.219 -2.918 3.094 4.235 -1.195 1.910 -0.398 3.677 3.182" Properties=species:S:1:pos:R:3 pbc="T T T"
P -0.199 1.839 1.591
Cl 2.117 -0.597 0.955
Cl -1.109 -1.459 1.547
Al 0.809 -0.218 4.093
Ta 0.000 0.000 0.000
```

Computed properties:
* symmetry: P4/mmm, No. 123
* spin magnetization: 0.000 μB/atom
* mass density: 4.58 Mg/m³
* DOS at the Fermi energy: 1.17 states/eV/cell
* raw formation energy: -0.13 eV/atom



[11]
This record from Alexandria describes a PBEsol-optimized structure of Al2PbCl. The functional is meta-GGA SCAN.

Cell and atoms, written as extended XYZ:
```
4
Lattice="-1.374 2.108 1.852 -0.878 -2.282 1.945 7.605 0.956 4.556" Properties=species:S:1:pos:R:3 pbc="T T T"
Pb 4.830 0.662 5.467
Al 0.317 0.040 0.190
Al 0.746 0.149 3.020
Cl 3.261 0.410 1.954
```

Computed properties:
* symmetry: P4mm, No. 99
* ΔE to the lowest computed polymorph: 0 meV/atom
* spin magnetization: 0.000 μB/atom
* mass density: 5.66 Mg/m³
* DOS at the Fermi energy: 1.46 states/eV/cell
* raw formation energy: -0.14 eV/atom



[12]
This record from Alexandria describes a PBEsol-optimized structure of Al2PbCl. The functional is meta-GGA SCAN.

Cell and atoms, written as extended XYZ:
```
4
Lattice="3.247 0.000 0.000 0.000 4.751 0.000 0.000 0.000 5.887" Properties=species:S:1:pos:R:3 pbc="T T T"
Pb 1.623 2.375 2.943
Al 0.000 0.000 4.508
Al 0.000 0.000 1.379
Cl 1.623 2.375 0.000
```

Computed properties:
* symmetry: Pmmm, No. 47
* ΔE to the lowest computed polymorph: 273 meV/atom
* spin magnetization: 0.000 μB/atom
* mass density: 5.43 Mg/m³
* DOS at the Fermi energy: 1.67 states/eV/cell
* raw formation energy: 0.14 eV/atom